# 1
10
Lattice="-0.106 3.737 1.754 -2.061 -1.568 3.216 9.621 -2.132 5.125" Properties=species:S:1:pos:R:3 comment="DyTm2Si3Pt4 GGA-PBE relaxed" energy_ev_per_atom=-6.43 total_magnetization_mub_per_fu=0.00 pbc="T T T"
Dy 3.727 0.018 5.048
Tm 2.092 1.393 2.020
Tm 6.446 -2.441 5.591
Si 4.811 -1.066 2.563
Si 8.377 0.000 5.368
Si 0.161 -1.048 2.243
Pt -1.084 1.084 2.485
Pt 0.000 0.000 0.000
Pt 6.345 0.451 4.285
Pt 2.193 -1.498 3.325


# 2
12
Lattice="4.614 0.000 0.000 0.000 4.614 0.000 0.000 0.000 14.498" Properties=species:S:1:pos:R:3 comment="Y2In9Hg GGA-PBE relaxed" formation_energy_ev_per_fu=-2.94 total_magnetization_mub_per_fu=0.00 pbc="T T T"
Y 0.000 0.000 4.942
Y 0.000 0.000 9.556
In 2.307 2.307 0.000
In 2.307 2.307 4.892
In 2.307 2.307 9.606
In 2.307 0.000 2.495
In 2.307 0.000 7.249
In 2.307 0.000 12.003
In 0.000 2.307 2.495
In 0.000 2.307 7.249
In 0.000 2.307 12.003
Hg 0.000 0.000 0.000


# 3
12
Lattice="-7.239 -0.485 0.395 2.554 -5.758 -5.681 -1.753 -6.526 2.669" Properties=species:S:1:pos:R:3 comment="NdHgCl GGA-PBE relaxed" energy_ev_per_atom=-3.34 total_magnetization_mub_per_fu=0.00 pbc="T T T"
Cl -6.664 -4.969 0.344
Cl -7.548 -8.332 1.430
Cl -4.267 -6.974 -2.879
Cl -0.654 -6.831 -3.325
Nd 1.317 -8.720 -3.994
Nd -4.666 -4.351 -1.621
Nd -5.470 -6.566 2.324
Nd -2.230 -7.914 -1.186
Hg -2.986 -5.540 0.715
Hg -4.192 -10.355 -1.280
Hg -2.128 -2.545 -1.288
Hg -0.591 -10.380 -2.146


# 4
4
Lattice="-2.179 -0.978 3.356 -2.615 -2.177 -2.332 1.988 -2.875 0.453" Properties=species:S:1:pos:R:3 comment="Li2RhBr GGA-PBE relaxed" e_above_lowest_polymorph_ev_per_atom=0.124 total_magnetization_mub_per_fu=0.21 pbc="T T T"
Br -0.314 -2.526 -0.939
Li 0.000 0.000 0.000
Li -2.397 -1.577 0.512
Rh -0.095 -1.926 1.905